(1)
Crystalline Li4PmPb2 at its relaxed geometry. Source: Alexandria, functional GGA-PBE.

Summary:
- Crystal system: tetragonal
- ΔH_f (0 K): -0.38 eV/atom
- VASP energy: -44.995 eV for the cell shown
- Size of the total moment: 0.00 μB per formula unit
- Mass density: 6.237 Mg/m³

```
14
Lattice="-1.263 -0.970 4.454 -7.601 -1.476 -2.477 1.898 -7.819 -1.164" Properties=species:S:1:pos:R:3 pbc="T T T"
Li -5.563 -6.364 -2.963
Li -0.140 -2.931 -0.678
Li -0.585 -5.446 1.161
Li -1.997 -7.747 0.259
Li -2.493 -1.360 -1.003
Pm -0.632 -0.485 2.227
Pb -2.290 -3.187 1.169
Li -3.211 -7.935 -2.638
Li -6.382 -4.819 -0.347
Pb -0.090 -6.492 -1.439
Li -4.970 -2.517 0.554
Pb -5.613 -2.803 -2.202
Pb -4.677 -7.077 -0.355
Pm -2.852 -4.648 -1.820
```

---

(2)
Crystalline LiPm2Pb4 at its relaxed geometry. Source: Alexandria, functional GGA-PBE.

Summary:
- Crystal system: tetragonal
- ΔH_f (0 K): -0.21 eV/atom
- VASP energy: -27.689 eV for the cell shown
- Size of the total moment: 0.00 μB per formula unit
- Mass density: 8.999 Mg/m³

```
7
Lattice="5.082 0.000 0.000 0.000 5.082 0.000 -2.541 -2.541 8.042" Properties=species:S:1:pos:R:3 pbc="T T T"
Pm 0.000 0.000 5.862
Pb 2.541 2.541 5.329
Pb 0.000 2.541 0.000
Pb 0.000 0.000 2.713
Pm 2.541 2.541 2.180
Pb 2.541 0.000 0.000
Li 0.000 0.000 0.000
```